1.
Cs5TcO4F2 | GGA-PBE | relaxed

Cell lengths 8.4458, 6.5388, 6.5388 Å; angles 114.10, 90.00, 90.00 degrees
Last column: nearest neighbours and their distance in Å.
Positions (direct):
Cs: 0.0000 0.0000 0.0000  2 O 2.96, 2 F 2.96
Cs: 0.2650 0.3078 0.6737  2 F 2.95-3.00, 3 O 2.99-3.26
Cs: 0.2650 0.6737 0.3078  2 F 2.95-3.00, 3 O 2.99-3.26
Cs: 0.7350 0.3078 0.6737  2 F 2.95-3.00, 3 O 2.99-3.26
Cs: 0.7350 0.6737 0.3078  2 F 2.95-3.00, 3 O 2.99-3.26
Tc: 0.5000 0.0031 0.0031  4 O 1.86
O: 0.3235 0.1596 0.1596  1 Tc 1.86
O: 0.5000 0.7103 0.9820  1 Tc 1.86
O: 0.5000 0.9820 0.7103  1 Tc 1.86
O: 0.6765 0.1596 0.1596  1 Tc 1.86
F: 0.0000 0.5364 0.9730  5 Cs 2.95-3.00
F: 0.0000 0.9730 0.5364  5 Cs 2.95-3.00

***

2.
Li2GaRhO4 | GGA-PBE | relaxed

Cell lengths 5.1309, 3.0172, 5.2302 Å; angles 90.00, 109.73, 90.00 degrees
Last column: nearest neighbours and their distance in Å.
Positions (direct):
Li: 0.0000 0.0000 0.0000  6 O 2.20-2.23
Li: 0.0000 0.5000 0.5000  6 O 2.15-2.17
Ga: 0.5000 0.0000 0.5000  6 O 2.01-2.05
Rh: 0.5000 0.5000 0.0000  6 O 2.08-2.09
O: 0.2718 0.5000 0.2645  2 Ga 2.05, 1 Rh 2.09, 3 Li 2.15-2.20
O: 0.2748 0.0000 0.7486  1 Ga 2.01, 2 Rh 2.08, 3 Li 2.17-2.23
O: 0.7252 0.0000 0.2514  1 Ga 2.01, 2 Rh 2.08, 3 Li 2.17-2.23
O: 0.7282 0.5000 0.7355  2 Ga 2.05, 1 Rh 2.09, 3 Li 2.15-2.20

***

| no. | theoretical density (Mg/m³) | spin magnetization (μB/cell) | final energy (eV/atom) |
| --- | --- | --- | --- |
| 1 | 4.4 | 2.00 | -5.068 |
| 2 | 5.5 | 0.00 | -5.849 |